Entry 1:
A plane-wave DFT calculation with GGA-PBE was carried out for Tb12PmHo5 after structural relaxation.

a = 10.6618 Å, b = 10.6618 Å, c = 5.0258 Å
α = 90.00°, β = 90.00°, γ = 90.09°
Closest atoms and distances in Å follow each position.
Fractional coordinates of all 18 atoms:
1 Tb 0.9997 0.3324 0.5000  4 Ho 3.54-3.55, 8 Tb 3.55-3.57
2 Tb 0.0003 0.6676 0.5000  4 Ho 3.54-3.55, 8 Tb 3.55-3.57
3 Tb 0.1661 0.1661 0.0000  4 Ho 3.54-3.55, 8 Tb 3.55-3.57
4 Tb 0.1659 0.5005 0.0000  8 Tb 3.54-3.57, 3 Ho 3.55, 1 Pm 3.56
5 Tb 0.3324 0.9997 0.5000  4 Ho 3.54-3.55, 8 Tb 3.55-3.57
6 Tb 0.3327 0.3327 0.5000  8 Tb 3.55-3.56, 2 Pm 3.56, 2 Ho 3.57
7 Tb 0.5005 0.1659 0.0000  8 Tb 3.54-3.57, 3 Ho 3.55, 1 Pm 3.56
8 Tb 0.4995 0.8341 0.0000  8 Tb 3.54-3.57, 3 Ho 3.55, 1 Pm 3.56
9 Tb 0.6673 0.6673 0.5000  8 Tb 3.55-3.56, 2 Pm 3.56, 2 Ho 3.57
10 Tb 0.6676 0.0003 0.5000  4 Ho 3.54-3.55, 8 Tb 3.55-3.57
11 Tb 0.8341 0.4995 0.0000  8 Tb 3.54-3.57, 3 Ho 3.55, 1 Pm 3.56
12 Tb 0.8339 0.8339 0.0000  4 Ho 3.54-3.55, 8 Tb 3.55-3.57
13 Pm 0.5000 0.5000 0.0000  8 Tb 3.56, 4 Ho 3.57
14 Ho 0.0000 0.0000 0.5000  8 Tb 3.54-3.55, 4 Ho 3.55
15 Ho 0.1664 0.8336 0.0000  8 Tb 3.54-3.55, 4 Ho 3.55
16 Ho 0.3322 0.6678 0.5000  8 Tb 3.54-3.57, 2 Ho 3.55, 2 Pm 3.57
17 Ho 0.6678 0.3322 0.5000  8 Tb 3.54-3.57, 2 Ho 3.55, 2 Pm 3.57
18 Ho 0.8336 0.1664 0.0000  8 Tb 3.54-3.55, 4 Ho 3.55

Computed properties:
**Raw total energy**: -4.6055 eV/atom
**ΔE_f**: 0.017 eV per atom

Entry 2:
A plane-wave DFT calculation with GGA-PBE was carried out for GeTe2AuN after structural relaxation.

a = 5.7030 Å, b = 5.7030 Å, c = 3.4576 Å
α = 90.00°, β = 90.00°, γ = 90.00°
Closest atoms and distances in Å follow each position.
Fractional coordinates of all 5 atoms:
1 Ge 0.0000 0.0000 0.0000  2 N 1.73
2 Te 0.0000 0.5000 0.0000  2 Ge 2.85
3 Te 0.5000 0.0000 0.0000  2 Ge 2.85
4 Au 0.5000 0.5000 0.5000  8 Te 3.33, 2 Au 3.46
5 N 0.0000 0.0000 0.5000  2 Ge 1.73

Computed properties:
**E above lowest polymorph**: 0 meV/atom
**Raw total energy**: -3.7754 eV/atom
**Formation energy without anion corrections**: 3.6 eV/f.u.

Entry 3:
A plane-wave DFT calculation with GGA-PBE was carried out for KLaNi2 after structural relaxation.

a = 4.1625 Å, b = 6.9986 Å, c = 6.9986 Å
α = 33.86°, β = 90.00°, γ = 90.00°
Closest atoms and distances in Å follow each position.
Fractional coordinates of all 4 atoms:
1 K 0.0000 0.0000 0.0000  6 Ni 3.40-3.45
2 La 0.5000 0.7372 0.7372  6 Ni 2.70-3.00
3 Ni 0.0000 0.2920 0.2920  2 Ni 2.32
4 Ni 0.5000 0.3693 0.3693  2 Ni 2.32

Computed properties:
**E above lowest polymorph**: 123 meV/atom
**Raw total energy**: -4.2667 eV/atom
**ΔE_f**: 0.130 eV per atom

Entry 4:
A plane-wave DFT calculation with GGA-PBE was carried out for InSb3S after structural relaxation.

a = 5.2772 Å, b = 5.2772 Å, c = 5.2772 Å
α = 90.00°, β = 90.00°, γ = 90.00°
Closest atoms and distances in Å follow each position.
Fractional coordinates of all 5 atoms:
1 In 0.0000 0.0000 0.0000  12 Sb 3.73
2 Sb 0.0000 0.5000 0.5000  2 S 2.64
3 Sb 0.5000 0.0000 0.5000  2 S 2.64
4 Sb 0.5000 0.5000 0.0000  2 S 2.64
5 S 0.5000 0.5000 0.5000  6 Sb 2.64

Computed properties:
**E above lowest polymorph**: 0 meV/atom
**Raw total energy**: -3.4205 eV/atom
**Formation energy without anion corrections**: 2.1 eV/f.u.

Entry 5:
A plane-wave DFT calculation with GGA-PBE was carried out for YZnO2 after structural relaxation.

a = 6.4391 Å, b = 6.4391 Å, c = 6.4391 Å
α = 134.22°, β = 134.22°, γ = 66.74°
Closest atoms and distances in Å follow each position.
Fractional coordinates of all 8 atoms:
1 Y 0.0000 0.0000 0.0000  4 O 2.19
2 Y 0.7500 0.2500 0.5000  4 O 2.19
3 Zn 0.2500 0.7500 0.5000  4 O 2.26
4 Zn 0.5000 0.5000 0.0000  4 O 2.26
5 O 0.1138 0.6250 0.9888  2 Y 2.19, 2 Zn 2.26
6 O 0.3750 0.3638 0.4888  2 Y 2.19, 2 Zn 2.26
7 O 0.6362 0.1250 0.0112  2 Y 2.19, 2 Zn 2.26
8 O 0.8750 0.8862 0.5112  2 Y 2.19, 2 Zn 2.26

Computed properties:
**Raw total energy**: -6.4315 eV/atom
**Formation energy without anion corrections**: -8.1 eV/f.u.

Entry 6:
A plane-wave DFT calculation with GGA-PBE was carried out for PmTmCdAu after structural relaxation.

a = 3.6766 Å, b = 3.6766 Å, c = 7.4394 Å
α = 90.00°, β = 90.00°, γ = 90.00°
Closest atoms and distances in Å follow each position.
Fractional coordinates of all 4 atoms:
1 Pm 0.0000 0.0000 0.0000  4 Au 3.27, 4 Cd 3.32, 1 Tm 3.52
2 Tm 0.0000 0.0000 0.4727  4 Au 3.02, 4 Cd 3.20
3 Cd 0.5000 0.5000 0.7234  4 Tm 3.20, 4 Pm 3.32, 1 Au 3.40
4 Au 0.5000 0.5000 0.2662  4 Tm 3.02, 4 Pm 3.27

Computed properties:
**E above lowest polymorph**: 0 meV/atom
**Raw total energy**: -3.9290 eV/atom
**ΔE_f**: -0.575 eV per atom

Entry 7:
A plane-wave DFT calculation with GGA-PBE was carried out for Tb2Y5Tm12 after structural relaxation.

a = 9.0793 Å, b = 9.0793 Å, c = 8.4274 Å
α = 91.14°, β = 91.14°, γ = 60.08°
Closest atoms and distances in Å follow each position.
Fractional coordinates of all 19 atoms:
1 Tb 0.1813 0.8187 0.0000  1 Tb 3.30, 8 Tm 3.35-3.54, 2 Y 3.53
2 Tb 0.8187 0.1813 0.0000  1 Tb 3.30, 8 Tm 3.35-3.54, 2 Y 3.53
3 Y 0.1989 0.1989 0.0072  8 Tm 3.39-3.60, 2 Tb 3.53, 1 Y 3.65
4 Y 0.2657 0.2657 0.4245  10 Tm 3.35-3.68, 2 Y 3.65-3.72
5 Y 0.5000 0.5000 0.5000  10 Tm 3.53-3.67, 2 Y 3.72
6 Y 0.7343 0.7343 0.5755  10 Tm 3.35-3.68, 2 Y 3.65-3.72
7 Y 0.8011 0.8011 0.9928  8 Tm 3.39-3.60, 2 Tb 3.53, 1 Y 3.65
8 Tm 0.0554 0.0554 0.3323  2 Tb 3.35, 7 Tm 3.35-3.43, 2 Y 3.38-3.59
9 Tm 0.0662 0.6803 0.3416  4 Y 3.35-3.66, 6 Tm 3.36-3.69, 1 Tb 3.54
10 Tm 0.1631 0.5269 0.7541  5 Tm 3.31-3.69, 1 Tb 3.40, 5 Y 3.44-3.68
11 Tm 0.3197 0.9338 0.6584  4 Y 3.35-3.66, 6 Tm 3.36-3.69, 1 Tb 3.54
12 Tm 0.4080 0.4080 0.1142  2 Tb 3.39, 3 Y 3.39-3.53, 5 Tm 3.44-3.58
13 Tm 0.4731 0.8369 0.2459  5 Tm 3.31-3.69, 1 Tb 3.40, 5 Y 3.44-3.68
14 Tm 0.5269 0.1631 0.7541  5 Tm 3.31-3.69, 1 Tb 3.40, 5 Y 3.44-3.68
15 Tm 0.5920 0.5920 0.8858  2 Tb 3.39, 3 Y 3.39-3.53, 5 Tm 3.44-3.58
16 Tm 0.6803 0.0662 0.3416  4 Y 3.35-3.66, 6 Tm 3.36-3.69, 1 Tb 3.54
17 Tm 0.8369 0.4731 0.2459  5 Tm 3.31-3.69, 1 Tb 3.40, 5 Y 3.44-3.68
18 Tm 0.9338 0.3197 0.6584  4 Y 3.35-3.66, 6 Tm 3.36-3.69, 1 Tb 3.54
19 Tm 0.9446 0.9446 0.6677  2 Tb 3.35, 7 Tm 3.35-3.43, 2 Y 3.38-3.59

Computed properties:
**E above lowest polymorph**: 98 meV/atom
**Raw total energy**: -4.8871 eV/atom
**ΔE_f**: 0.126 eV per atom

Entry 8:
A plane-wave DFT calculation with GGA-PBE was carried out for KMgP3 after structural relaxation.

a = 4.9503 Å, b = 4.9503 Å, c = 4.9503 Å
α = 90.00°, β = 90.00°, γ = 90.00°
Closest atoms and distances in Å follow each position.
Fractional coordinates of all 5 atoms:
1 K 0.0000 0.0000 0.0000  12 P 3.50
2 Mg 0.5000 0.5000 0.5000  6 P 2.48
3 P 0.0000 0.5000 0.5000  2 Mg 2.48
4 P 0.5000 0.0000 0.5000  2 Mg 2.48
5 P 0.5000 0.5000 0.0000  2 Mg 2.48

Computed properties:
**E above lowest polymorph**: 0 meV/atom
**Raw total energy**: -3.3102 eV/atom
**ΔE_f**: 0.474 eV per atom

Entry 9:
A plane-wave DFT calculation with GGA-PBE was carried out for RbBaAlSe3 after structural relaxation.

a = 6.7194 Å, b = 6.7194 Å, c = 10.7666 Å
α = 103.09°, β = 103.09°, γ = 71.31°
Closest atoms and distances in Å follow each position.
Fractional coordinates of all 12 atoms:
1 Rb 0.2325 0.7675 0.0000  6 Se 3.53-3.58, 1 Rb 3.64, 2 Al 3.85
2 Rb 0.7675 0.2325 0.0000  6 Se 3.53-3.58, 1 Rb 3.64, 2 Al 3.85
3 Ba 0.1801 0.1801 0.6151  6 Se 3.31-3.46
4 Ba 0.8199 0.8199 0.3849  6 Se 3.31-3.46
5 Al 0.4570 0.4570 0.2853  3 Se 2.28-2.34
6 Al 0.5430 0.5430 0.7147  3 Se 2.28-2.34
7 Se 0.1746 0.6849 0.6547  1 Al 2.34
8 Se 0.2874 0.2874 0.1051  1 Al 2.28
9 Se 0.3151 0.8254 0.3453  1 Al 2.34
10 Se 0.6849 0.1746 0.6547  1 Al 2.34
11 Se 0.7126 0.7126 0.8949  1 Al 2.28
12 Se 0.8254 0.3151 0.3453  1 Al 2.34

Computed properties:
**Raw total energy**: -4.0686 eV/atom
**Formation energy without anion corrections**: -7.3 eV/f.u.

Entry 10:
A plane-wave DFT calculation with GGA-PBE was carried out for ZnIn3Ag3 after structural relaxation.

a = 8.7989 Å, b = 8.7989 Å, c = 4.4380 Å
α = 90.00°, β = 90.00°, γ = 120.00°
Closest atoms and distances in Å follow each position.
Fractional coordinates of all 14 atoms:
1 Zn 0.3333 0.6667 0.2500  6 Ag 2.79, 3 In 2.85
2 Zn 0.6667 0.3333 0.7500  6 Ag 2.79, 3 In 2.85
3 In 0.1464 0.2928 0.2500  1 Zn 2.85, 4 In 3.15, 2 Ag 3.16
4 In 0.1464 0.8536 0.2500  1 Zn 2.85, 4 In 3.15, 2 Ag 3.16
5 In 0.2928 0.1464 0.7500  1 Zn 2.85, 4 In 3.15, 2 Ag 3.16
6 In 0.7072 0.8536 0.2500  1 Zn 2.85, 4 In 3.15, 2 Ag 3.16
7 In 0.8536 0.1464 0.7500  1 Zn 2.85, 4 In 3.15, 2 Ag 3.16
8 In 0.8536 0.7072 0.7500  1 Zn 2.85, 4 In 3.15, 2 Ag 3.16
9 Ag 0.1125 0.5562 0.7500  2 Zn 2.79, 4 Ag 2.80-2.92
10 Ag 0.4438 0.5562 0.7500  2 Zn 2.79, 4 Ag 2.80-2.92
11 Ag 0.4438 0.8875 0.7500  2 Zn 2.79, 4 Ag 2.80-2.92
12 Ag 0.5562 0.1125 0.2500  2 Zn 2.79, 4 Ag 2.80-2.92
13 Ag 0.5562 0.4438 0.2500  2 Zn 2.79, 4 Ag 2.80-2.92
14 Ag 0.8875 0.4438 0.2500  2 Zn 2.79, 4 Ag 2.80-2.92

Computed properties:
**Raw total energy**: -2.5398 eV/atom
**ΔE_f**: 0.038 eV per atom

Entry 11:
A plane-wave DFT calculation with GGA-PBE was carried out for NaCuSeN2 after structural relaxation.

a = 4.0778 Å, b = 4.0778 Å, c = 5.1564 Å
α = 90.00°, β = 90.00°, γ = 90.00°
Closest atoms and distances in Å follow each position.
Fractional coordinates of all 5 atoms:
1 Na 0.0000 0.0000 0.0000  4 N 2.04
2 Cu 0.5000 0.5000 0.5000  4 Se 2.88
3 Se 0.0000 0.0000 0.5000  2 Na 2.58, 4 Cu 2.88
4 N 0.0000 0.5000 0.0000  2 Na 2.04
5 N 0.5000 0.0000 0.0000  2 Na 2.04

Computed properties:
**E above lowest polymorph**: 1131 meV/atom
**Raw total energy**: -2.7297 eV/atom
**Formation energy without anion corrections**: 11.9 eV/f.u.

Entry 12:
A plane-wave DFT calculation with GGA-PBE was carried out for Np3Ta2WC6 after structural relaxation.

a = 5.6022 Å, b = 5.6022 Å, c = 5.8821 Å
α = 99.13°, β = 99.13°, γ = 119.98°
Closest atoms and distances in Å follow each position.
Fractional coordinates of all 12 atoms:
1 Np 0.0000 0.0000 0.0000  6 C 2.42-2.43
2 Np 0.3326 0.6674 0.0000  6 C 2.42-2.43
3 Np 0.6674 0.3326 0.0000  6 C 2.42-2.43
4 Ta 0.1665 0.8335 0.5000  6 C 2.25
5 Ta 0.8335 0.1665 0.5000  6 C 2.25
6 W 0.5000 0.5000 0.5000  6 C 2.24
7 C 0.0945 0.4256 0.2764  1 W 2.24, 2 Ta 2.25, 3 Np 2.42-2.43
8 C 0.2436 0.2436 0.7243  1 W 2.24, 2 Ta 2.25, 3 Np 2.42-2.43
9 C 0.4256 0.0945 0.2764  1 W 2.24, 2 Ta 2.25, 3 Np 2.42-2.43
10 C 0.5744 0.9055 0.7236  1 W 2.24, 2 Ta 2.25, 3 Np 2.42-2.43
11 C 0.7564 0.7564 0.2757  1 W 2.24, 2 Ta 2.25, 3 Np 2.42-2.43
12 C 0.9055 0.5744 0.7236  1 W 2.24, 2 Ta 2.25, 3 Np 2.42-2.43

Computed properties:
**Raw total energy**: -11.1734 eV/atom
**ΔE_f**: -0.271 eV per atom